# 1
Here is TcAg2Se after structural relaxation from Alexandria. Energies are from GGA-PBEsol.

```
data_TcAg2Se
_chemical_formula_sum 'Tc1 Ag2 Se1'
_cell_length_a 2.988
_cell_length_b 4.444
_cell_length_c 6.030
_cell_angle_alpha 111.62
_cell_angle_beta 104.35
_cell_angle_gamma 90.00
_space_group_name_H-M_alt 'P 1'
_space_group_IT_number 1
_space_group_name_Hall 'P 1'
loop_
_atom_site_label
_atom_site_fract_x
_atom_site_fract_y
_atom_site_fract_z
Se1 0.551 0.551 0.101
Tc1 0.221 0.721 0.442
Ag1 0.949 0.949 0.897
Ag2 0.780 0.280 0.560
```

- Space group: Imm2, No. 44
- Crystal system: orthorhombic

# 2
Here is AgTeSe2 after structural relaxation from Alexandria. Energies are from GGA-PBEsol.

```
data_AgTeSe2
_chemical_formula_sum 'Ag1 Te1 Se2'
_cell_length_a 4.892
_cell_length_b 4.892
_cell_length_c 4.892
_cell_angle_alpha 109.40
_cell_angle_beta 109.40
_cell_angle_gamma 109.61
_space_group_name_H-M_alt 'P 1'
_space_group_IT_number 1
_space_group_name_Hall 'P 1'
loop_
_atom_site_label
_atom_site_fract_x
_atom_site_fract_y
_atom_site_fract_z
Ag1 0.000 0.000 0.000
Se1 0.500 0.000 0.500
Se2 0.000 0.500 0.500
Te1 0.500 0.500 0.000
```

- Space group: I4/mmm, No. 139
- Crystal system: tetragonal

# 3
Here is AgTeSe2 after structural relaxation from Alexandria. Energies are from GGA-PBEsol.

```
data_AgTeSe2
_chemical_formula_sum 'Ag1 Te1 Se2'
_cell_length_a 4.114
_cell_length_b 4.114
_cell_length_c 6.643
_cell_angle_alpha 71.96
_cell_angle_beta 71.96
_cell_angle_gamma 60.00
_space_group_name_H-M_alt 'P 1'
_space_group_IT_number 1
_space_group_name_Hall 'P 1'
loop_
_atom_site_label
_atom_site_fract_x
_atom_site_fract_y
_atom_site_fract_z
Se1 0.257 0.257 0.228
Te1 0.500 0.500 0.500
Se2 0.743 0.743 0.772
Ag1 0.000 0.000 0.000
```

- Space group: R-3m, No. 166
- Crystal system: trigonal

# 4
Here is Ag2TeSe after structural relaxation from Alexandria. Energies are from GGA-PBEsol.

```
data_Ag2TeSe
_chemical_formula_sum 'Ag2 Te1 Se1'
_cell_length_a 3.003
_cell_length_b 4.142
_cell_length_c 7.057
_cell_angle_alpha 90.00
_cell_angle_beta 90.00
_cell_angle_gamma 90.00
_space_group_name_H-M_alt 'P 1'
_space_group_IT_number 1
_space_group_name_Hall 'P 1'
loop_
_atom_site_label
_atom_site_fract_x
_atom_site_fract_y
_atom_site_fract_z
Se1 0.000 0.000 0.408
Ag1 0.000 0.000 0.026
Ag2 0.500 0.500 0.251
Te1 0.500 0.500 0.815
```

- Space group: Pmm2, No. 25
- Crystal system: orthorhombic

# 5
Here is Ag2TeSe after structural relaxation from Alexandria. Energies are from GGA-PBEsol.

```
data_Ag2TeSe
_chemical_formula_sum 'Ag2 Te1 Se1'
_cell_length_a 4.592
_cell_length_b 4.878
_cell_length_c 4.878
_cell_angle_alpha 106.31
_cell_angle_beta 108.55
_cell_angle_gamma 108.55
_space_group_name_H-M_alt 'P 1'
_space_group_IT_number 1
_space_group_name_Hall 'P 1'
loop_
_atom_site_label
_atom_site_fract_x
_atom_site_fract_y
_atom_site_fract_z
Ag1 0.000 0.500 0.000
Ag2 0.000 0.000 0.500
Te1 0.500 0.500 0.500
Se1 0.500 0.000 0.000
```

- Space group: C2/m, No. 12
- Crystal system: monoclinic

# 6
Here is Ag3TeSe after structural relaxation from Alexandria. Energies are from GGA-PBEsol.

```
data_Ag3TeSe
_chemical_formula_sum 'Ag3 Te1 Se1'
_cell_length_a 5.157
_cell_length_b 5.157
_cell_length_c 5.157
_cell_angle_alpha 90.00
_cell_angle_beta 90.00
_cell_angle_gamma 90.00
_space_group_name_H-M_alt 'P 1'
_space_group_IT_number 1
_space_group_name_Hall 'P 1'
loop_
_atom_site_label
_atom_site_fract_x
_atom_site_fract_y
_atom_site_fract_z
Se1 0.500 0.500 0.500
Ag1 0.000 0.000 0.500
Ag2 0.500 0.000 0.000
Ag3 0.000 0.500 0.000
Te1 0.000 0.000 0.000
```

- Space group: Pm-3m, No. 221
- Crystal system: cubic

# 7
Here is AgTeSe2 after structural relaxation from Alexandria. Energies are from GGA-PBEsol.

```
data_AgTeSe2
_chemical_formula_sum 'Ag1 Te1 Se2'
_cell_length_a 2.891
_cell_length_b 2.891
_cell_length_c 11.314
_cell_angle_alpha 90.00
_cell_angle_beta 90.00
_cell_angle_gamma 90.00
_space_group_name_H-M_alt 'P 1'
_space_group_IT_number 1
_space_group_name_Hall 'P 1'
loop_
_atom_site_label
_atom_site_fract_x
_atom_site_fract_y
_atom_site_fract_z
Se1 0.000 0.000 0.688
Se2 0.000 0.000 0.312
Te1 0.500 0.500 0.000
Ag1 0.500 0.500 0.500
```

- Space group: P4/mmm, No. 123
- Crystal system: tetragonal

# 8
Here is AgTe2Se after structural relaxation from Alexandria. Energies are from GGA-PBEsol.

```
data_AgTe2Se
_chemical_formula_sum 'Ag1 Te2 Se1'
_cell_length_a 5.056
_cell_length_b 5.056
_cell_length_c 5.056
_cell_angle_alpha 60.00
_cell_angle_beta 60.00
_cell_angle_gamma 60.00
_space_group_name_H-M_alt 'P 1'
_space_group_IT_number 1
_space_group_name_Hall 'P 1'
loop_
_atom_site_label
_atom_site_fract_x
_atom_site_fract_y
_atom_site_fract_z
Ag1 0.500 0.500 0.500
Te1 0.000 0.000 0.000
Se1 0.250 0.250 0.250
Te2 0.750 0.750 0.750
```

- Space group: F-43m, No. 216
- Crystal system: cubic

# 9
Here is Ag2TeSe after structural relaxation from Alexandria. Energies are from GGA-PBEsol.

```
data_Ag2TeSe
_chemical_formula_sum 'Ag2 Te1 Se1'
_cell_length_a 3.917
_cell_length_b 3.917
_cell_length_c 6.868
_cell_angle_alpha 89.97
_cell_angle_beta 106.55
_cell_angle_gamma 120.11
_space_group_name_H-M_alt 'P 1'
_space_group_IT_number 1
_space_group_name_Hall 'P 1'
loop_
_atom_site_label
_atom_site_fract_x
_atom_site_fract_y
_atom_site_fract_z
Se1 0.500 0.500 0.000
Te1 0.500 0.000 0.500
Ag1 0.011 0.756 0.767
Ag2 0.989 0.244 0.233
```

- Space group: C2/m, No. 12
- Crystal system: monoclinic

# 10
Here is AgTeSe2 after structural relaxation from Alexandria. Energies are from GGA-PBEsol.

```
data_AgTeSe2
_chemical_formula_sum 'Ag1 Te1 Se2'
_cell_length_a 4.048
_cell_length_b 4.048
_cell_length_c 5.588
_cell_angle_alpha 90.00
_cell_angle_beta 90.00
_cell_angle_gamma 90.00
_space_group_name_H-M_alt 'P 1'
_space_group_IT_number 1
_space_group_name_Hall 'P 1'
loop_
_atom_site_label
_atom_site_fract_x
_atom_site_fract_y
_atom_site_fract_z
Te1 0.000 0.000 0.000
Se1 0.500 0.500 0.000
Ag1 0.500 0.500 0.500
Se2 0.000 0.000 0.500
```

- Space group: P4/mmm, No. 123
- Crystal system: tetragonal

# 11
Here is AgTe2Se after structural relaxation from Alexandria. Energies are from GGA-PBEsol.

```
data_AgTe2Se
_chemical_formula_sum 'Ag1 Te2 Se1'
_cell_length_a 4.084
_cell_length_b 5.064
_cell_length_c 5.064
_cell_angle_alpha 110.30
_cell_angle_beta 90.00
_cell_angle_gamma 90.00
_space_group_name_H-M_alt 'P 1'
_space_group_IT_number 1
_space_group_name_Hall 'P 1'
loop_
_atom_site_label
_atom_site_fract_x
_atom_site_fract_y
_atom_site_fract_z
Te1 0.000 0.005 0.995
Se1 0.500 0.268 0.732
Ag1 0.000 0.490 0.510
Te2 0.500 0.738 0.262
```

- Space group: Amm2, No. 38
- Crystal system: orthorhombic

# 12
Here is AgTe2Se after structural relaxation from Alexandria. Energies are from GGA-PBEsol.

```
data_AgTe2Se
_chemical_formula_sum 'Ag1 Te2 Se1'
_cell_length_a 4.266
_cell_length_b 4.266
_cell_length_c 5.612
_cell_angle_alpha 90.00
_cell_angle_beta 90.00
_cell_angle_gamma 90.00
_space_group_name_H-M_alt 'P 1'
_space_group_IT_number 1
_space_group_name_Hall 'P 1'
loop_
_atom_site_label
_atom_site_fract_x
_atom_site_fract_y
_atom_site_fract_z
Ag1 0.000 0.000 0.500
Te1 0.000 0.000 0.000
Te2 0.500 0.500 0.000
Se1 0.500 0.500 0.500
```

- Space group: P4/mmm, No. 123
- Crystal system: tetragonal

# 13
Here is AgTeSe2 after structural relaxation from Alexandria. Energies are from GGA-PBEsol.

```
data_AgTeSe2
_chemical_formula_sum 'Ag1 Te1 Se2'
_cell_length_a 4.059
_cell_length_b 4.076
_cell_length_c 6.256
_cell_angle_alpha 109.01
_cell_angle_beta 109.00
_cell_angle_gamma 90.00
_space_group_name_H-M_alt 'P 1'
_space_group_IT_number 1
_space_group_name_Hall 'P 1'
loop_
_atom_site_label
_atom_site_fract_x
_atom_site_fract_y
_atom_site_fract_z
Se1 0.747 0.746 0.493
Ag1 0.248 0.247 0.494
Se2 0.003 0.004 0.007
Te1 0.502 0.503 0.005
```

- Space group: Cm, No. 8
- Crystal system: monoclinic

| no. | electronic total energy (eV per atom) | magnetization (μB/f.u.) | N(E_F) (states/eV per cell) |
| --- | --- | --- | --- |
| 1 | -5.029 | 0.0 | 3.03 |
| 2 | -3.663 | 0.0 | 2.09 |
| 3 | -3.620 | 0.0 | 2.11 |
| 4 | -3.453 | 0.0 | 2.84 |
| 5 | -3.448 | 0.0 | 1.38 |
| 6 | -2.889 | 0.9 | 5.13 |
| 7 | -3.437 | 0.0 | 2.55 |
| 8 | -3.241 | 0.0 | 2.90 |
| 9 | -3.521 | 0.0 | 1.75 |
| 10 | -3.663 | 0.0 | 2.23 |
| 11 | -3.578 | 0.0 | 1.48 |
| 12 | -3.523 | 0.0 | 2.26 |
| 13 | -3.643 | 0.0 | 1.78 |